[1]
Density functional theory data (PBE) for Te3Pt2 after structural relaxation.

SG: R-3c, No. 167

a b c (Å): 6.967 6.967 7.276
angles (deg): 61.40 61.40 60.00
Positions (direct):
Te 0.048 0.750 0.750
Te 0.250 0.548 0.250
Te 0.452 0.048 0.750
Te 0.750 0.452 0.750
Te 0.952 0.250 0.250
Te 0.548 0.952 0.250
Pt 0.351 0.351 0.947
Pt 0.149 0.149 0.553
Pt 0.851 0.851 0.447
Pt 0.649 0.649 0.053



[2]
Density functional theory data (PBE) for TePt2 after structural relaxation.

SG: P-3m1, No. 164

a b c (Å): 4.739 4.739 2.928
angles (deg): 90.00 90.00 120.00
Positions (direct):
Pt 0.333 0.667 0.171
Pt 0.667 0.333 0.829
Te 0.000 0.000 0.000



[3]
Density functional theory data (PBE) for Te3Pt2 after structural relaxation.

SG: Fdd2, No. 43

a b c (Å): 8.742 7.284 6.887
angles (deg): 76.13 53.98 49.89
Positions (direct):
Te 0.341 0.312 0.738
Te 0.938 0.909 0.641
Te 0.609 0.738 0.312
Te 0.882 0.118 0.118
Te 0.132 0.368 0.368
Te 0.512 0.641 0.909
Pt 0.915 0.483 0.849
Pt 0.753 0.849 0.483
Pt 0.401 0.497 0.335
Pt 0.767 0.335 0.497



no.,energy above the most stable polymorph in this dataset (meV per atom),E_form (uncorrected) (eV per atom)
1,89.7,-0.30
2,319.5,0.14
3,160.4,-0.23